A geometry-optimized Cs2NiAuF structure. Source: Alexandria via LeMat-Bulk, functional GGA+U. Values from VASP.

Values from the calculation:
Its space group is P4/mmm, No. 123. The calculated density comes out at 4512 kg/m³. The total moment comes out at 1.00 Bohr magnetons per cell. The calculation puts the total energy at -2.271 eV per atom.

Cell and atoms, written as Quantum ESPRESSO input:
```
&SYSTEM
  ibrav = 0, nat = 5, ntyp = 4
/
ATOMIC_SPECIES
Cs 132.91 Cs.upf
Ni 58.69 Ni.upf
Au 196.97 Au.upf
F 19.00 F.upf
CELL_PARAMETERS angstrom
6.454 0.000 0.000
0.000 6.454 0.000
0.000 0.000 4.775
ATOMIC_POSITIONS crystal
Cs 0.000 0.500 0.000
Cs 0.500 0.000 0.000
Ni 0.000 0.000 0.000
Au 0.000 0.000 0.500
F 0.500 0.500 0.500
```